Record 1
{"formula": "MgNbMoAs", "functional": "PBE-GGA", "state": "relaxed", "lattice_angstrom": [[0.000, 3.198, 3.198], [3.198, 0.000, 3.198], [3.198, 3.198, 0.000]], "species": ["Mg", "Nb", "Mo", "As"], "fractional_positions": [[0.000, 0.000, 0.000], [0.250, 0.250, 0.250], [0.500, 0.500, 0.500], [0.750, 0.750, 0.750]], "rho_g_cm3": 7.31, "m_tot_mub_per_atom": 0.002, "spacegroup": "No. 216", "e_above_lowest_polymorph_mev_per_atom": 0}

---

Record 2
{"formula": "RbURe", "functional": "PBE-GGA", "state": "relaxed", "lattice_angstrom": [[0.000, 3.374, 3.374], [3.374, 0.000, 3.374], [3.374, 3.374, 0.000]], "species": ["Rb", "U", "Re"], "fractional_positions": [[0.000, 0.000, 0.000], [0.250, 0.250, 0.250], [0.500, 0.500, 0.500]], "final_energy_ev_per_atom": -6.013, "rho_g_cm3": 11.01, "m_tot_mub_per_atom": 0.091, "spacegroup": "No. 216"}

---

Record 3
{"formula": "PdBr2", "functional": "PBE-GGA", "state": "relaxed", "lattice_angstrom": [[3.588, 0.000, 0.000], [0.000, 6.907, 0.000], [0.000, 0.000, 13.245]], "species": ["Pd", "Pd", "Pd", "Pd", "Br", "Br", "Br", "Br", "Br", "Br", "Br", "Br"], "fractional_positions": [[0.000, 0.057, 0.000], [0.000, 0.440, 0.501], [0.500, 0.560, 0.001], [0.500, 0.943, 0.500], [0.000, 0.553, 0.873], [0.000, 0.570, 0.129], [0.000, 0.931, 0.628], [0.000, 0.948, 0.372], [0.500, 0.052, 0.872], [0.500, 0.069, 0.128], [0.500, 0.430, 0.629], [0.500, 0.447, 0.373]], "final_energy_ev_per_atom": -3.094, "rho_g_cm3": 5.39, "spacegroup": "No. 31"}

---

Record 4
{"formula": "TmLu6Cu2Te2", "functional": "PBE-GGA", "state": "relaxed", "lattice_angstrom": [[-1.946, 7.572, 4.710], [1.946, -7.572, 4.710], [1.946, 7.572, -4.710]], "species": ["Tm", "Lu", "Lu", "Lu", "Lu", "Lu", "Lu", "Cu", "Cu", "Te", "Te"], "fractional_positions": [[0.000, 0.000, 0.000], [0.063, 0.378, 0.685], [0.090, 0.735, 0.355], [0.379, 0.735, 0.645], [0.452, 0.584, 0.868], [0.693, 0.378, 0.315], [0.716, 0.584, 0.132], [0.307, 0.072, 0.236], [0.836, 0.072, 0.764], [0.339, 0.339, 0.000], [0.733, 0.233, 0.500]], "final_energy_ev_per_atom": -4.680, "rho_g_cm3": 9.58, "m_tot_mub_per_atom": 0.003, "spacegroup": "No. 44"}

---

Record 5
{"formula": "LiBiPd2", "functional": "PBE-GGA", "state": "relaxed", "lattice_angstrom": [[9.238, 0.000, 0.000], [0.000, 6.605, 0.000], [0.000, 0.000, 4.619]], "species": ["Li", "Li", "Li", "Li", "Bi", "Bi", "Bi", "Bi", "Pd", "Pd", "Pd", "Pd", "Pd", "Pd", "Pd", "Pd"], "fractional_positions": [[0.125, 0.250, 0.247], [0.375, 0.750, 0.747], [0.625, 0.250, 0.253], [0.875, 0.750, 0.753], [0.124, 0.750, 0.246], [0.376, 0.250, 0.746], [0.624, 0.750, 0.254], [0.876, 0.250, 0.754], [0.126, 0.000, 0.745], [0.126, 0.500, 0.745], [0.374, 0.000, 0.245], [0.374, 0.500, 0.245], [0.626, 0.000, 0.755], [0.626, 0.500, 0.755], [0.874, 0.000, 0.255], [0.874, 0.500, 0.255]], "final_energy_ev_per_atom": -4.528, "rho_g_cm3": 10.11, "spacegroup": "No. 62"}

---

Record 6
{"formula": "RbLiZrTe3", "functional": "PBE-GGA", "state": "relaxed", "lattice_angstrom": [[9.182, 0.000, 0.000], [0.000, 4.267, 0.000], [-4.095, 0.000, 10.316]], "species": ["Rb", "Rb", "Li", "Li", "Zr", "Zr", "Te", "Te", "Te", "Te", "Te", "Te"], "fractional_positions": [[0.242, 0.250, 0.207], [0.758, 0.750, 0.793], [0.425, 0.250, 0.898], [0.575, 0.750, 0.102], [0.189, 0.750, 0.660], [0.811, 0.250, 0.340], [0.048, 0.750, 0.371], [0.255, 0.750, 0.933], [0.398, 0.250, 0.643], [0.602, 0.750, 0.357], [0.745, 0.250, 0.067], [0.952, 0.250, 0.629]], "rho_g_cm3": 4.65, "m_tot_mub_per_atom": 0.000, "spacegroup": "No. 11", "e_above_lowest_polymorph_mev_per_atom": 2}

---

Record 7
{"formula": "LiMg2Pt", "functional": "PBE-GGA", "state": "relaxed", "lattice_angstrom": [[4.509, 0.000, 0.000], [-2.255, 3.905, 0.000], [0.000, 0.000, 7.957]], "species": ["Li", "Li", "Mg", "Mg", "Mg", "Mg", "Pt", "Pt"], "fractional_positions": [[0.000, 0.000, 0.000], [0.000, 0.000, 0.500], [0.333, 0.667, 0.089], [0.333, 0.667, 0.411], [0.667, 0.333, 0.589], [0.667, 0.333, 0.911], [0.333, 0.667, 0.750], [0.667, 0.333, 0.250]], "rho_g_cm3": 5.94, "m_tot_mub_per_atom": 0.001, "spacegroup": "No. 194", "e_above_lowest_polymorph_mev_per_atom": 282}

---

Record 8
{"formula": "LuAlCoPd", "functional": "PBE-GGA", "state": "relaxed", "lattice_angstrom": [[0.000, 3.174, 3.174], [3.174, 0.000, 3.174], [3.174, 3.174, 0.000]], "species": ["Lu", "Al", "Co", "Pd"], "fractional_positions": [[0.000, 0.000, 0.000], [0.500, 0.500, 0.500], [0.750, 0.750, 0.750], [0.250, 0.250, 0.250]], "rho_g_cm3": 9.53, "m_tot_mub_per_atom": 0.166, "spacegroup": "No. 216", "e_above_lowest_polymorph_mev_per_atom": 0}

---

Record 9
{"formula": "BaSrCdSe3", "functional": "PBE-GGA", "state": "relaxed", "lattice_angstrom": [[9.237, 0.000, 0.000], [0.000, 4.423, 0.000], [0.000, 0.000, 18.111]], "species": ["Ba", "Ba", "Ba", "Ba", "Sr", "Sr", "Sr", "Sr", "Cd", "Cd", "Cd", "Cd", "Se", "Se", "Se", "Se", "Se", "Se", "Se", "Se", "Se", "Se", "Se", "Se"], "fractional_positions": [[0.234, 0.250, 0.037], [0.266, 0.750, 0.537], [0.734, 0.250, 0.463], [0.766, 0.750, 0.963], [0.074, 0.250, 0.780], [0.426, 0.750, 0.280], [0.574, 0.250, 0.720], [0.926, 0.750, 0.220], [0.124, 0.250, 0.366], [0.376, 0.750, 0.866], [0.624, 0.250, 0.134], [0.876, 0.750, 0.634], [0.024, 0.250, 0.598], [0.111, 0.750, 0.921], [0.188, 0.250, 0.223], [0.312, 0.750, 0.723], [0.389, 0.250, 0.421], [0.476, 0.750, 0.098], [0.524, 0.250, 0.902], [0.611, 0.750, 0.579], [0.688, 0.250, 0.277], [0.812, 0.750, 0.777], [0.889, 0.250, 0.079], [0.976, 0.750, 0.402]], "rho_g_cm3": 5.15, "spacegroup": "No. 62", "e_above_lowest_polymorph_mev_per_atom": 6}

---

Record 10
{"formula": "KLaReS4", "functional": "PBE-GGA", "state": "relaxed", "lattice_angstrom": [[6.701, 0.000, 0.000], [0.000, 6.624, 0.000], [-2.729, 0.000, 8.377]], "species": ["K", "K", "La", "La", "Re", "Re", "S", "S", "S", "S", "S", "S", "S", "S"], "fractional_positions": [[0.235, 0.000, 0.438], [0.765, 0.500, 0.562], [0.263, 0.982, 0.953], [0.737, 0.482, 0.047], [0.262, 0.495, 0.179], [0.738, 0.995, 0.821], [0.080, 0.571, 0.921], [0.082, 0.518, 0.353], [0.487, 0.240, 0.776], [0.498, 0.243, 0.221], [0.502, 0.743, 0.779], [0.513, 0.740, 0.224], [0.918, 0.018, 0.647], [0.920, 0.071, 0.079]], "final_energy_ev_per_atom": -6.045, "rho_g_cm3": 4.40, "m_tot_mub_per_atom": 0.151, "spacegroup": "No. 4"}

---

Record 11
{"formula": "ScGa2AgBr6", "functional": "PBE-GGA", "state": "relaxed", "lattice_angstrom": [[0.000, 5.432, 5.432], [5.432, 0.000, 5.432], [5.432, 5.432, 0.000]], "species": ["Sc", "Ga", "Ga", "Ag", "Br", "Br", "Br", "Br", "Br", "Br"], "fractional_positions": [[0.000, 0.000, 0.000], [0.250, 0.250, 0.250], [0.750, 0.750, 0.750], [0.500, 0.500, 0.500], [0.243, 0.243, 0.757], [0.243, 0.757, 0.243], [0.243, 0.757, 0.757], [0.757, 0.243, 0.243], [0.757, 0.243, 0.757], [0.757, 0.757, 0.243]], "final_energy_ev_per_atom": -3.373, "rho_g_cm3": 4.00, "m_tot_mub_per_atom": 0.000, "spacegroup": "No. 225"}

---

Record 12
{"formula": "KCd5", "functional": "PBE-GGA", "state": "relaxed", "lattice_angstrom": [[6.042, 0.000, 0.000], [-3.021, 5.233, 0.000], [0.000, 0.000, 4.865]], "species": ["K", "Cd", "Cd", "Cd", "Cd", "Cd"], "fractional_positions": [[0.000, 0.000, 0.000], [0.000, 0.500, 0.500], [0.333, 0.667, 0.000], [0.500, 0.000, 0.500], [0.500, 0.500, 0.500], [0.667, 0.333, 0.000]], "rho_g_cm3": 6.49, "spacegroup": "No. 191", "e_above_lowest_polymorph_mev_per_atom": 5}

---

- Number 4 is which compound?
  TmLu6Cu2Te2